A plane-wave DFT calculation with PBE-GGA was carried out for crystalline MgPa4Rh12 at its relaxed geometry.

a b c (Å): 7.2025 7.2025 7.2025
angles (deg): 109.47 109.47 109.47
Last column: nearest neighbours and their distance in Å.
Atoms (fractional coordinates):
Mg 0.0000 0.0000 0.0000  6 Rh 2.39
Pa 0.0000 0.0000 0.5000  12 Rh 2.94-2.96
Pa 0.0000 0.5000 0.0000  12 Rh 2.94-2.96
Pa 0.5000 0.0000 0.0000  12 Rh 2.94-2.96
Pa 0.5000 0.5000 0.5000  12 Rh 2.94-2.96
Rh 0.0000 0.2874 0.2874  1 Mg 2.39
Rh 0.0000 0.7126 0.7126  1 Mg 2.39
Rh 0.2500 0.5000 0.7500  8 Rh 2.73-2.94, 4 Pa 2.94
Rh 0.2500 0.7500 0.5000  8 Rh 2.73-2.94, 4 Pa 2.94
Rh 0.2874 0.0000 0.2874  1 Mg 2.39
Rh 0.2874 0.2874 0.0000  1 Mg 2.39
Rh 0.5000 0.2500 0.7500  8 Rh 2.73-2.94, 4 Pa 2.94
Rh 0.5000 0.7500 0.2500  8 Rh 2.73-2.94, 4 Pa 2.94
Rh 0.7126 0.0000 0.7126  1 Mg 2.39
Rh 0.7126 0.7126 0.0000  1 Mg 2.39
Rh 0.7500 0.2500 0.5000  8 Rh 2.73-2.94, 4 Pa 2.94
Rh 0.7500 0.5000 0.2500  8 Rh 2.73-2.94, 4 Pa 2.94

Output
- energy of formation (eV/f.u.) = -12.26
- Fermi-level density of states (states/eV per cell) = 12.62